Entry 1:
A geometry-optimized Cs2TaI6Cl structure. Source: the Alexandria database, functional PBE.

abc: 12.414 12.414 12.414
angles: 90.00 90.00 90.00
Space group Fm-3m (No. 225)
One atom of each set of equivalent atoms:
Cs 0.250 0.250 0.250 [8 per cell]
Ta 0.000 0.000 0.000 [4 per cell]
I 0.000 0.000 0.225 [24 per cell]
Cl 0.000 0.000 0.500 [4 per cell]

Values from the calculation:
The size of the total moment is 0.00 μB/f.u. The value obtained for the electronic total energy is -132.7 eV for the cell shown. The crystal system is cubic. As for the energy relative to the elements, uncorrected: -0.85 eV/atom. Its calculated volume is 1913 Å³/cell.



Entry 2:
A geometry-optimized Al2Tl2F7 structure. Source: the Alexandria database, functional PBE.

abc: 6.029 8.801 8.118
angles: 90.00 105.55 90.00
Space group C2/m (No. 12)
One atom of each set of equivalent atoms:
Al 0.249 0.000 0.416 [4 per cell]
Tl 0.000 0.310 0.000 [4 per cell]
F 0.000 0.000 0.500 [2 per cell]
F 0.059 0.500 0.375 [4 per cell]
F 0.183 0.165 0.304 [8 per cell]

Values from the calculation:
The size of the total moment is 0.00 μB/f.u. The value obtained for the electronic total energy is -111.8 eV for the cell shown. The crystal system is monoclinic. As for the energy relative to the elements, uncorrected: -2.78 eV/atom. Its calculated volume is 415 Å³/cell.



Entry 3:
A geometry-optimized CsZnAs2Ru structure. Source: the Alexandria database, functional PBE.

abc: 5.631 5.631 5.738
angles: 90.00 90.00 90.00
Space group P4/mmm (No. 123)
One atom of each set of equivalent atoms:
Cs 0.000 0.000 0.000 [1 per cell]
Zn 0.000 0.000 0.500 [1 per cell]
As 0.000 0.500 0.000 [2 per cell]
Ru 0.500 0.500 0.500 [1 per cell]

Values from the calculation:
The size of the total moment is 3.36 μB/f.u. The value obtained for the electronic total energy is -9.2 eV for the cell shown. The crystal system is tetragonal. As for the formation energy: 2299 meV per atom. Its calculated volume is 182 Å³/cell.



Entry 4:
A geometry-optimized AcAgP2S8 structure. Source: the Alexandria database, functional PBE.

abc: 5.8684 5.8684 8.8953
angles: 90.00 90.00 120.00
Space group P-3 (No. 147)
One atom of each set of equivalent atoms:
Ac 0.0000 0.0000 0.0000 [1 per cell]
Ag 0.0000 0.0000 0.5000 [1 per cell]
P 0.3333 0.6667 0.7628 [2 per cell]
S 0.0017 0.6725 0.3013 [6 per cell]
S 0.3333 0.6667 0.9928 [2 per cell]

Values from the calculation:
The size of the total moment is 0.00 μB/f.u. The value obtained for the electronic total energy is -56.9 eV for the cell shown. The crystal system is trigonal. As for the energy relative to the elements, uncorrected: -0.51 eV/atom. Its calculated volume is 265 Å³/cell.



Entry 5:
A geometry-optimized DyUFe2 structure. Source: the Alexandria database, functional PBE.

abc: 3.242 3.242 6.800
angles: 90.00 90.00 90.00
Space group P4/mmm (No. 123)
One atom of each set of equivalent atoms:
Dy 0.000 0.000 0.000 [1 per cell]
U 0.000 0.000 0.500 [1 per cell]
Fe 0.500 0.500 0.306 [2 per cell]

Values from the calculation:
The size of the total moment is 0.44 μB/f.u. The value obtained for the electronic total energy is -32.9 eV for the cell shown. The crystal system is tetragonal. Its excess energy over the best structure of this formula in the dataset is 135 meV per atom. As for the formation energy: -21 meV per atom. Its calculated volume is 71 Å³/cell.



Entry 6:
A geometry-optimized IrPd2RuPb structure. Source: the Alexandria database, functional PBE.

abc: 4.710 4.710 5.073
angles: 90.00 90.00 90.00
Space group P4/mmm (No. 123)
One atom of each set of equivalent atoms:
Ir 0.000 0.000 0.000 [1 per cell]
Pd 0.000 0.500 0.500 [2 per cell]
Ru 0.500 0.500 0.500 [1 per cell]
Pb 0.500 0.500 0.000 [1 per cell]

Values from the calculation:
The size of the total moment is 0.00 μB/f.u. The value obtained for the electronic total energy is -24.5 eV for the cell shown. The crystal system is tetragonal. Its excess energy over the best structure of this formula in the dataset is 566 meV per atom. As for the formation energy: 1552 meV per atom. Its calculated volume is 113 Å³/cell.



Entry 7:
A geometry-optimized PrNdSm3Tm structure. Source: the Alexandria database, functional PBE.

abc: 5.946 11.528 11.844
angles: 90.00 90.00 90.00
Space group Cmcm (No. 63)
One atom of each set of equivalent atoms:
Pr 0.000 0.000 0.000 [4 per cell]
Nd 0.000 0.479 0.250 [4 per cell]
Sm 0.000 0.172 0.250 [4 per cell]
Sm 0.000 0.325 0.520 [8 per cell]
Tm 0.000 0.153 0.750 [4 per cell]

Values from the calculation:
The size of the total moment is 0.00 μB/f.u. The value obtained for the electronic total energy is -110.1 eV for the cell shown. The crystal system is orthorhombic. As for the formation energy: 108 meV per atom. Its calculated volume is 812 Å³/cell.



Entry 8:
A geometry-optimized TcNiSe2 structure. Source: the Alexandria database, functional PBE.

abc: 3.221 3.417 13.502
angles: 90.00 90.00 90.00
Space group Imm2 (No. 44)
One atom of each set of equivalent atoms:
Tc 0.000 0.000 0.000 [2 per cell]
Ni 0.000 0.500 0.854 [2 per cell]
Se 0.000 0.000 0.588 [2 per cell]
Se 0.000 0.500 0.347 [2 per cell]

Values from the calculation:
The size of the total moment is 0.00 μB/f.u. The value obtained for the electronic total energy is -46.5 eV for the cell shown. The crystal system is orthorhombic. Its excess energy over the best structure of this formula in the dataset is 248 meV per atom. As for the energy relative to the elements, uncorrected: -0.03 eV/atom. Its calculated volume is 149 Å³/cell.



Entry 9:
A geometry-optimized Th2Ga4Co3Cu structure. Source: the Alexandria database, functional PBE.

abc: 4.070 4.070 10.383
angles: 90.00 90.00 90.00
Space group P-4m2 (No. 115)
One atom of each set of equivalent atoms:
Th 0.000 0.500 0.241 [2 per cell]
Ga 0.000 0.000 0.000 [1 per cell]
Ga 0.000 0.500 0.629 [2 per cell]
Ga 0.500 0.500 0.000 [1 per cell]
Co 0.000 0.500 0.861 [2 per cell]
Co 0.500 0.500 0.500 [1 per cell]
Cu 0.000 0.000 0.500 [1 per cell]

Values from the calculation:
The size of the total moment is 0.65 μB/f.u. The value obtained for the electronic total energy is -56.4 eV for the cell shown. The crystal system is tetragonal. As for the formation energy: -405 meV per atom. Its calculated volume is 172 Å³/cell.



Entry 10:
A geometry-optimized Cs4SmHo3Te8 structure. Source: the Alexandria database, functional PBE.

abc: 9.1256 9.1256 26.7671
angles: 90.00 90.00 120.00
Space group R-3m (No. 166, hexagonal axes)
One atom of each set of equivalent atoms:
Cs 0.0000 0.0000 0.0000 [3 per cell]
Cs 0.0000 0.5000 0.0000 [9 per cell]
Sm 0.0000 0.0000 0.5000 [3 per cell]
Ho 0.0000 0.5000 0.5000 [9 per cell]
Te 0.0000 0.0000 0.2294 [6 per cell]
Te 0.0051 0.5025 0.7699 [18 per cell]

Values from the calculation:
The size of the total moment is 0.00 μB/f.u. The value obtained for the electronic total energy is -207.4 eV for the cell shown. The crystal system is trigonal. As for the energy relative to the elements, uncorrected: -1.38 eV/atom. Its calculated volume is 1930 Å³/cell.



Entry 11:
A geometry-optimized Ac3MgCu2O8 structure. Source: the Alexandria database, functional PBE.

abc: 5.5923 5.5923 7.3529
angles: 90.00 90.00 120.00
Space group P-3m1 (No. 164)
One atom of each set of equivalent atoms:
Ac 0.0000 0.0000 0.0000 [1 per cell]
Ac 0.3333 0.6667 0.6320 [2 per cell]
Mg 0.0000 0.0000 0.5000 [1 per cell]
Cu 0.3333 0.6667 0.1892 [2 per cell]
O 0.1628 0.3256 0.3236 [6 per cell]
O 0.3333 0.6667 0.9411 [2 per cell]

Values from the calculation:
The size of the total moment is 3.05 μB/f.u. The value obtained for the electronic total energy is -92.1 eV for the cell shown. The crystal system is trigonal. As for the energy relative to the elements, uncorrected: -2.16 eV/atom. Its calculated volume is 199 Å³/cell.



Entry 12:
A geometry-optimized LaSm2Pu structure. Source: the Alexandria database, functional PBE.

abc: 3.5170 3.5170 37.5418
angles: 90.00 90.00 120.00
Space group R-3m (No. 166, hexagonal axes)
One atom of each set of equivalent atoms:
La 0.0000 0.0000 0.0000 [3 per cell]
Sm 0.0000 0.0000 0.4131 [6 per cell]
Pu 0.0000 0.0000 0.5000 [3 per cell]

Values from the calculation:
The size of the total moment is 6.42 μB/f.u. The value obtained for the electronic total energy is -82.8 eV for the cell shown. The crystal system is trigonal. Its excess energy over the best structure of this formula in the dataset is 158 meV per atom. As for the formation energy: 277 meV per atom. Its calculated volume is 402 Å³/cell.